Computed, not measured: a relaxed Mn2Fe3CoP6O24 crystal at the PBE+U level of DFT.

The structure in CIF format:
```
data_Mn2Fe3CoP6O24
_space_group_name_H-M_alt 'R 3'
_space_group_IT_number 146
_space_group_name_Hall 'R 3'
_cell_length_a 8.5295
_cell_length_b 8.5295
_cell_length_c 20.5224
_cell_angle_alpha 90.00
_cell_angle_beta 90.00
_cell_angle_gamma 120.00
loop_
_atom_site_label
_atom_site_type_symbol
_atom_site_fract_x
_atom_site_fract_y
_atom_site_fract_z
Mn1 Mn 0.0000 0.0000 0.0000
Mn2 Mn 0.0000 0.0000 0.4997
Fe1 Fe 0.0000 0.0000 0.1453
Fe2 Fe 0.0000 0.0000 0.6403
Fe3 Fe 0.0000 0.0000 0.8539
Co1 Co 0.0000 0.0000 0.3597
P1 P 0.0009 0.7062 0.7448
P2 P 0.0444 0.3737 0.9208
O1 O 0.0001 0.8028 0.6833
O2 O 0.0060 0.8041 0.8077
O3 O 0.0165 0.8370 0.4208
O4 O 0.0185 0.1779 0.9294
O5 O 0.1404 0.4723 0.9831
O6 O 0.1456 0.4622 0.8582
O7 O 0.1654 0.4810 0.2444
O8 O 0.1697 0.6785 0.7376
```

---

Computed, not measured: a relaxed MnFe3Co2P6O24 crystal at the PBE+U level of DFT.

The structure in CIF format:
```
data_MnFe3Co2P6O24
_space_group_name_H-M_alt 'R 3'
_space_group_IT_number 146
_space_group_name_Hall 'R 3'
_cell_length_a 8.5301
_cell_length_b 8.5301
_cell_length_c 20.5314
_cell_angle_alpha 90.00
_cell_angle_beta 90.00
_cell_angle_gamma 120.00
loop_
_atom_site_label
_atom_site_type_symbol
_atom_site_fract_x
_atom_site_fract_y
_atom_site_fract_z
Mn1 Mn 0.0000 0.0000 0.0000
Fe1 Fe 0.0000 0.0000 0.2175
Fe2 Fe 0.0000 0.0000 0.5006
Fe3 Fe 0.0000 0.0000 0.7166
Co1 Co 0.0000 0.0000 0.3585
Co2 Co 0.0000 0.0000 0.8565
P1 P 0.0421 0.3744 0.2758
P2 P 0.0445 0.6680 0.7756
O1 O 0.0015 0.1944 0.6704
O2 O 0.0019 0.2030 0.5447
O3 O 0.0130 0.8324 0.7813
O4 O 0.0179 0.1811 0.2827
O5 O 0.1418 0.6710 0.8377
O6 O 0.1443 0.6728 0.7124
O7 O 0.1705 0.4873 0.6023
O8 O 0.1751 0.6982 0.0996
```

---

| no. | VASP energy (eV per atom) |
| --- | --- |
| 1 | -6.991 |
| 2 | -6.822 |